(1)
A geometry-optimized Ni4OsS2 structure, computed with PBE.

Formation energy from raw total energies, kJ/mol of formula units: 669.5
D(E_F), states/eV per cell: 11.704
Calculated volume, Å³/cell: 119.4

Cell: 4.513 4.513 6.674 Å, 70.24 70.24 90.00°
Fractional coordinates of all 7 atoms:
Os1 0.000 0.000 0.000
Ni1 0.500 0.000 0.000
S1 0.619 0.619 0.763
Ni2 0.796 0.796 0.408
S2 0.381 0.381 0.237
Ni3 0.000 0.500 0.000
Ni4 0.204 0.204 0.592

=====

(2)
A geometry-optimized NiOs2S2 structure, computed with PBE.

Energy above the lowest structure with this stoichiometry, eV per atom: 0.141
Formation energy from raw total energies, kJ/mol of formula units: 333.1
D(E_F), states/eV per cell: 9.903
Calculated volume, Å³/cell: 135.3

Cell: 6.848 6.848 2.885 Å, 90.00 90.00 90.00°
Fractional coordinates of all 10 atoms:
Os1 0.652 0.848 0.500
Os2 0.348 0.152 0.500
S1 0.154 0.346 0.000
Ni1 0.000 0.000 0.000
Os3 0.152 0.652 0.500
S2 0.654 0.154 0.000
S3 0.346 0.846 0.000
S4 0.846 0.654 0.000
Ni2 0.500 0.500 0.000
Os4 0.848 0.348 0.500